(1)
Computed, not measured: a relaxed MgCrFe2Pt crystal at the PBE level of DFT.

a = 4.7195 Å, b = 4.7195 Å, c = 4.5800 Å
α = 90.00°, β = 90.00°, γ = 90.00°
Sites, in units of the cell vectors:
Mg: 0.0000 0.0000 0.0000
Cr: 0.5000 0.5000 0.0000
Fe: 0.0000 0.5000 0.5000
Fe: 0.5000 0.0000 0.5000
Pt: 0.5000 0.5000 0.5000

Formation energy ... 1.086 eV per atom
Symmetry ... P4/mmm (123)
Volume ... 20.40 A^3/atom
Density ... 6.24 g/cm³
Crystal system ... tetragonal
E_tot ... -28.76 eV for the cell shown

(2)
Computed, not measured: a relaxed RbMg2CrFe crystal at the PBE level of DFT.

a = 5.0423 Å, b = 5.0423 Å, c = 5.3309 Å
α = 90.00°, β = 90.00°, γ = 90.00°
Sites, in units of the cell vectors:
Rb: 0.0000 0.0000 0.0000
Mg: 0.0000 0.5000 0.5000
Mg: 0.5000 0.0000 0.5000
Cr: 0.5000 0.5000 0.0000
Fe: 0.0000 0.0000 0.5000

Formation energy ... 1.302 eV per atom
Symmetry ... P4/mmm (123)
Volume ... 27.11 A^3/atom
Density ... 2.96 g/cm³
Crystal system ... tetragonal
E_tot ... -15.73 eV for the cell shown

(3)
Computed, not measured: a relaxed Mg2CrFe3S8 crystal at the PBE level of DFT.

a = 7.0151 Å, b = 7.0151 Å, c = 7.0151 Å
α = 60.13°, β = 60.13°, γ = 60.13°
Sites, in units of the cell vectors:
Mg: 0.1257 0.1257 0.1257
Mg: 0.8743 0.8743 0.8743
Cr: 0.5000 0.5000 0.5000
Fe: 0.0000 0.5000 0.5000
Fe: 0.5000 0.0000 0.5000
Fe: 0.5000 0.5000 0.0000
S: 0.2601 0.2601 0.7037
S: 0.2601 0.7037 0.2601
S: 0.2679 0.2679 0.2679
S: 0.2963 0.7399 0.7399
S: 0.7037 0.2601 0.2601
S: 0.7321 0.7321 0.7321
S: 0.7399 0.2963 0.7399
S: 0.7399 0.7399 0.2963

Symmetry ... R-3m (166)
Volume ... 17.49 A^3/atom
Formation energy without anion corrections ... -632 meV/atom
Density ... 3.56 g/cm³
Crystal system ... trigonal
E_tot ... -80.06 eV for the cell shown

(4)
Computed, not measured: a relaxed SrMgCrFe2 crystal at the PBE level of DFT.

a = 4.4693 Å, b = 4.4693 Å, c = 5.0427 Å
α = 90.00°, β = 90.00°, γ = 90.00°
Sites, in units of the cell vectors:
Sr: 0.0000 0.0000 0.0000
Mg: 0.5000 0.5000 0.0000
Cr: 0.5000 0.5000 0.5000
Fe: 0.0000 0.5000 0.5000
Fe: 0.5000 0.0000 0.5000

Formation energy ... 0.762 eV per atom
Symmetry ... P4/mmm (123)
Volume ... 20.15 A^3/atom
Density ... 4.54 g/cm³
Crystal system ... tetragonal
E_tot ... -26.02 eV for the cell shown

(5)
Computed, not measured: a relaxed MgCrFeTc2 crystal at the PBE level of DFT.

a = 4.4560 Å, b = 4.4560 Å, c = 4.3315 Å
α = 90.00°, β = 90.00°, γ = 90.00°
Sites, in units of the cell vectors:
Mg: 0.0000 0.0000 0.0000
Cr: 0.5000 0.5000 0.0000
Fe: 0.5000 0.5000 0.5000
Tc: 0.0000 0.5000 0.5000
Tc: 0.5000 0.0000 0.5000

Formation energy ... 0.957 eV per atom
Symmetry ... P4/mmm (123)
Volume ... 17.20 A^3/atom
Density ... 6.34 g/cm³
Crystal system ... tetragonal
E above lowest polymorph ... 0 meV/atom
E_tot ... -35.63 eV for the cell shown

(6)
Computed, not measured: a relaxed MgCrFeTc2 crystal at the PBE level of DFT.

a = 4.4628 Å, b = 4.4628 Å, c = 4.3148 Å
α = 90.00°, β = 90.00°, γ = 90.00°
Sites, in units of the cell vectors:
Mg: 0.0000 0.0000 0.0000
Cr: 0.5000 0.5000 0.5000
Fe: 0.5000 0.5000 0.0000
Tc: 0.0000 0.5000 0.5000
Tc: 0.5000 0.0000 0.5000

Formation energy ... 0.960 eV per atom
Symmetry ... P4/mmm (123)
Volume ... 17.19 A^3/atom
Density ... 6.34 g/cm³
Crystal system ... tetragonal
E above lowest polymorph ... 2 meV/atom
E_tot ... -35.61 eV for the cell shown